Below is LaTbErCd after structural relaxation, with properties calculated at the GGA-PBE level.

Calculated values
The calculation puts the formation energy at -0.1388 eV/atom. The value obtained for the magnetic moment is 0.0 μB per formula unit. The relative energy among the computed polymorphs comes out at 0.000 eV/atom.

The structure in CIF format:
```
data_LaTbErCd
_chemical_formula_sum 'La1 Tb1 Er1 Cd1'
_cell_length_a 3.645
_cell_length_b 3.645
_cell_length_c 9.101
_cell_angle_alpha 90.00
_cell_angle_beta 90.00
_cell_angle_gamma 90.00
_space_group_name_H-M_alt 'P 4 m m'
_space_group_IT_number 99
loop_
_space_group_symop_operation_xyz
'x,y,z'
'-y,x,z'
'-x,-y,z'
'y,-x,z'
'-x,y,z'
'y,x,z'
'x,-y,z'
'-y,-x,z'
loop_
_atom_site_label
_atom_site_type_symbol
_atom_site_fract_x
_atom_site_fract_y
_atom_site_fract_z
La1 La 0.000 0.000 0.000
Tb1 Tb 0.500 0.500 0.714
Er1 Er 0.500 0.500 0.281
Cd1 Cd 0.000 0.000 0.493
```



Below is TiFe2HRh after structural relaxation, with properties calculated at the GGA-PBE level.

Calculated values
The value obtained for the magnetic moment is 3.7 μB per formula unit. The relative energy among the computed polymorphs comes out at 0.014 eV/atom.

The structure in CIF format:
```
data_TiFe2HRh
_chemical_formula_sum 'Ti1 Fe2 H1 Rh1'
_cell_length_a 3.713
_cell_length_b 3.713
_cell_length_c 3.964
_cell_angle_alpha 90.00
_cell_angle_beta 90.00
_cell_angle_gamma 90.00
_space_group_name_H-M_alt 'P 4/m m m'
_space_group_IT_number 123
_space_group_name_Hall '-P 4 2'
loop_
_atom_site_label
_atom_site_type_symbol
_atom_site_fract_x
_atom_site_fract_y
_atom_site_fract_z
Ti1 Ti 0.000 0.000 0.000
Fe1 Fe 0.000 0.500 0.500
H1 H 0.500 0.500 0.500
Rh1 Rh 0.500 0.500 0.000
```



Below is Ac2ZnSnAu6 after structural relaxation, with properties calculated at the GGA-PBE level.

Calculated values
The calculation puts the formation energy at -0.5196 eV/atom. The value obtained for the magnetic moment is 0.0 μB per formula unit.

The structure in CIF format:
```
data_Ac2ZnSnAu6
_chemical_formula_sum 'Ac2 Zn1 Sn1 Au6'
_cell_length_a 5.590
_cell_length_b 7.117
_cell_length_c 7.319
_cell_angle_alpha 82.64
_cell_angle_beta 67.73
_cell_angle_gamma 67.19
_space_group_name_H-M_alt 'P -1'
_space_group_IT_number 2
loop_
_space_group_symop_operation_xyz
'x,y,z'
'-x,-y,-z'
loop_
_atom_site_label
_atom_site_type_symbol
_atom_site_fract_x
_atom_site_fract_y
_atom_site_fract_z
Ac1 Ac 0.030 0.222 0.221
Zn1 Zn 0.500 0.500 0.000
Sn1 Sn 0.500 0.000 0.500
Au1 Au 0.014 0.758 0.217
Au2 Au 0.344 0.418 0.402
Au3 Au 0.487 0.240 0.786
```



Below is Pm5Sm12Dy2 after structural relaxation, with properties calculated at the GGA-PBE level.

Calculated values
The calculation puts the formation energy at 0.1354 eV/atom. The value obtained for the magnetic moment is 0.0 μB per formula unit. The relative energy among the computed polymorphs comes out at 0.000 eV/atom.

The structure in CIF format:
```
data_Pm5Sm12Dy2
_chemical_formula_sum 'Pm10 Sm24 Dy4'
_cell_length_a 22.355
_cell_length_b 7.137
_cell_length_c 8.764
_cell_angle_alpha 90.00
_cell_angle_beta 110.01
_cell_angle_gamma 90.00
_space_group_name_H-M_alt 'C 1 2/m 1'
_space_group_IT_number 12
loop_
_space_group_symop_operation_xyz
'x,y,z'
'-x,-y,-z'
'-x,y,-z'
'x,-y,z'
'x+1/2,y+1/2,z'
'-x+1/2,-y+1/2,-z'
'-x+1/2,y+1/2,-z'
'x+1/2,-y+1/2,z'
loop_
_atom_site_label
_atom_site_type_symbol
_atom_site_fract_x
_atom_site_fract_y
_atom_site_fract_z
Pm1 Pm 0.000 0.000 0.000
Pm2 Pm 0.150 0.500 0.595
Pm3 Pm 0.249 0.000 0.991
Sm1 Sm 0.048 0.500 0.194
Sm2 Sm 0.106 0.257 0.884
Sm3 Sm 0.144 0.000 0.566
Sm4 Sm 0.200 0.253 0.294
Dy1 Dy 0.000 0.256 0.500
```



Below is CsInAsAu after structural relaxation, with properties calculated at the GGA-PBE level.

Calculated values
The calculation puts the formation energy at -0.1641 eV/atom. The value obtained for the magnetic moment is 0.0 μB per formula unit.

The structure in CIF format:
```
data_CsInAsAu
_chemical_formula_sum 'Cs2 In2 As2 Au2'
_cell_length_a 4.553
_cell_length_b 4.553
_cell_length_c 13.383
_cell_angle_alpha 90.00
_cell_angle_beta 90.00
_cell_angle_gamma 90.00
_space_group_name_H-M_alt 'P 4/n m m'
_space_group_IT_number 129
loop_
_space_group_symop_operation_xyz
'x,y,z'
'-x,-y,-z'
'-y+1/2,x,z'
'y+1/2,-x,-z'
'-x+1/2,-y+1/2,z'
'x+1/2,y+1/2,-z'
'y,-x+1/2,z'
'-y,x+1/2,-z'
'x+1/2,-y,-z'
'-x+1/2,y,z'
'-y,-x,-z'
'y,x,z'
'-x,y+1/2,-z'
'x,-y+1/2,z'
'y+1/2,x+1/2,-z'
'-y+1/2,-x+1/2,z'
loop_
_atom_site_label
_atom_site_type_symbol
_atom_site_fract_x
_atom_site_fract_y
_atom_site_fract_z
Cs1 Cs 0.250 0.250 0.207
In1 In 0.250 0.750 0.500
As1 As 0.250 0.250 0.620
Au1 Au 0.250 0.750 0.000
```



Below is CeSnGeAu after structural relaxation, with properties calculated at the GGA-PBE level.

Calculated values
The calculation puts the formation energy at -0.4451 eV/atom. The value obtained for the magnetic moment is 0.9 μB per formula unit. The relative energy among the computed polymorphs comes out at 0.000 eV/atom.

The structure in CIF format:
```
data_CeSnGeAu
_chemical_formula_sum 'Ce2 Sn2 Ge2 Au2'
_cell_length_a 4.635
_cell_length_b 4.635
_cell_length_c 8.553
_cell_angle_alpha 90.00
_cell_angle_beta 90.00
_cell_angle_gamma 90.00
_space_group_name_H-M_alt 'I -4 m 2'
_space_group_IT_number 119
_space_group_name_Hall 'I -4 -2'
loop_
_atom_site_label
_atom_site_type_symbol
_atom_site_fract_x
_atom_site_fract_y
_atom_site_fract_z
Ce1 Ce 0.000 0.000 0.000
Sn1 Sn 0.000 0.000 0.500
Ge1 Ge 0.000 0.500 0.750
Au1 Au 0.000 0.500 0.250
```



Below is AcUP2 after structural relaxation, with properties calculated at the GGA-PBE level.

Calculated values
The calculation puts the formation energy at -0.7146 eV/atom. The value obtained for the magnetic moment is 2.6 μB per formula unit. The relative energy among the computed polymorphs comes out at 0.435 eV/atom.

The structure in CIF format:
```
data_AcUP2
_chemical_formula_sum 'Ac4 U4 P8'
_cell_length_a 7.161
_cell_length_b 7.161
_cell_length_c 7.161
_cell_angle_alpha 90.00
_cell_angle_beta 90.00
_cell_angle_gamma 90.00
_space_group_name_H-M_alt 'F m -3 m'
_space_group_IT_number 225
_space_group_name_Hall '-F 4 2 3'
loop_
_atom_site_label
_atom_site_type_symbol
_atom_site_fract_x
_atom_site_fract_y
_atom_site_fract_z
Ac1 Ac 0.000 0.000 0.000
U1 U 0.000 0.000 0.500
P1 P 0.250 0.250 0.250
```



Below is SrGe2HPt after structural relaxation, with properties calculated at the GGA-PBE level.

Calculated values
The value obtained for the magnetic moment is 1.9 μB per formula unit. The total DFT energy (no corrections) comes out at -2.3779 eV per atom.

The structure in CIF format:
```
data_SrGe2HPt
_chemical_formula_sum 'Sr1 Ge2 H1 Pt1'
_cell_length_a 5.936
_cell_length_b 5.936
_cell_length_c 5.416
_cell_angle_alpha 90.00
_cell_angle_beta 90.00
_cell_angle_gamma 90.00
_space_group_name_H-M_alt 'P 4/m m m'
_space_group_IT_number 123
_space_group_name_Hall '-P 4 2'
loop_
_atom_site_label
_atom_site_type_symbol
_atom_site_fract_x
_atom_site_fract_y
_atom_site_fract_z
Sr1 Sr 0.000 0.000 0.000
Ge1 Ge 0.000 0.500 0.000
H1 H 0.500 0.500 0.500
Pt1 Pt 0.000 0.000 0.500
```



Below is RbLiYCl6 after structural relaxation, with properties calculated at the GGA-PBE level.

Calculated values
The value obtained for the magnetic moment is 1.2 μB per formula unit. The calculation puts the raw formation energy at -1.755 eV/atom.

The structure in CIF format:
```
data_RbLiYCl6
_chemical_formula_sum 'Rb2 Li2 Y2 Cl12'
_cell_length_a 6.693
_cell_length_b 11.697
_cell_length_c 7.566
_cell_angle_alpha 90.00
_cell_angle_beta 90.15
_cell_angle_gamma 90.00
_space_group_name_H-M_alt 'C 1 2 1'
_space_group_IT_number 5
loop_
_space_group_symop_operation_xyz
'x,y,z'
'-x,y,-z'
'x+1/2,y+1/2,z'
'-x+1/2,y+1/2,-z'
loop_
_atom_site_label
_atom_site_type_symbol
_atom_site_fract_x
_atom_site_fract_y
_atom_site_fract_z
Rb1 Rb 0.000 0.000 0.000
Li1 Li 0.000 0.665 0.500
Y1 Y 0.000 0.334 0.500
Cl1 Cl 0.130 0.503 0.297
Cl2 Cl 0.178 0.813 0.298
Cl3 Cl 0.188 0.183 0.298
```



Below is PmHo14Th after structural relaxation, with properties calculated at the GGA-PBE level.

Calculated values
The calculation puts the formation energy at 0.0577 eV/atom. The value obtained for the magnetic moment is 0.0 μB per formula unit.

The structure in CIF format:
```
data_PmHo14Th
_chemical_formula_sum 'Pm2 Ho28 Th2'
_cell_length_a 11.059
_cell_length_b 8.133
_cell_length_c 11.172
_cell_angle_alpha 90.00
_cell_angle_beta 90.00
_cell_angle_gamma 90.00
_space_group_name_H-M_alt 'A m m 2'
_space_group_IT_number 38
loop_
_space_group_symop_operation_xyz
'x,y,z'
'-x,-y,z'
'-x,y,z'
'x,-y,z'
'x,y+1/2,z+1/2'
'-x,-y+1/2,z+1/2'
'-x,y+1/2,z+1/2'
'x,-y+1/2,z+1/2'
loop_
_atom_site_label
_atom_site_type_symbol
_atom_site_fract_x
_atom_site_fract_y
_atom_site_fract_z
Pm1 Pm 0.000 0.000 0.000
Ho1 Ho 0.000 0.205 0.720
Ho2 Ho 0.235 0.000 0.205
Ho3 Ho 0.249 0.211 0.925
Ho4 Ho 0.267 0.000 0.646
Ho5 Ho 0.500 0.000 0.410
Ho6 Ho 0.500 0.000 0.858
Ho7 Ho 0.500 0.205 0.136
Th1 Th 0.000 0.000 0.433
```